Entry 1:
# ZrGeP2 (PBE, optimized geometry)
# **Total magnetic moment**: 0.00 μB/cell
# **Fermi-level density of states**: 1.28 states/eV/f.u.
# **Volume**: 196.7 Å³/cell
# **ΔE_f**: -22 kJ per mole of atoms
data_ZrGeP2
_chemical_formula_sum 'Zr2 Ge2 P4'
_cell_length_a 5.860
_cell_length_b 5.860
_cell_length_c 7.070
_cell_angle_alpha 65.52
_cell_angle_beta 65.52
_cell_angle_gamma 90.00
_space_group_name_H-M_alt 'P 1'
_space_group_IT_number 1
loop_
_space_group_symop_operation_xyz
'x,y,z'
loop_
_atom_site_label
_atom_site_type_symbol
_atom_site_fract_x
_atom_site_fract_y
_atom_site_fract_z
P1 P 0.375 0.384 0.750
Zr1 Zr 0.750 0.250 0.500
P2 P 0.616 0.125 0.250
P3 P 0.875 0.866 0.750
P4 P 0.134 0.625 0.250
Ge1 Ge 0.250 0.750 0.500
Ge2 Ge 0.500 0.500 0.000
Zr2 Zr 0.000 0.000 0.000

***

Entry 2:
# ZrGeP2 (PBE, optimized geometry)
# **Total magnetic moment**: 0.00 μB/cell
# **Fermi-level density of states**: 0.80 states/eV/f.u.
# **Volume**: 79.1 Å³/cell
# **ΔE_f**: -41 kJ per mole of atoms
data_ZrGeP2
_chemical_formula_sum 'Zr1 Ge1 P2'
_cell_length_a 3.664
_cell_length_b 3.664
_cell_length_c 7.126
_cell_angle_alpha 75.10
_cell_angle_beta 75.10
_cell_angle_gamma 60.00
_space_group_name_H-M_alt 'P 1'
_space_group_IT_number 1
loop_
_space_group_symop_operation_xyz
'x,y,z'
loop_
_atom_site_label
_atom_site_type_symbol
_atom_site_fract_x
_atom_site_fract_y
_atom_site_fract_z
Ge1 Ge 0.508 0.508 0.475
P1 P 0.075 0.075 0.776
P2 P 0.249 0.249 0.253
Zr1 Zr 0.668 0.668 0.996